No. 1
Compound: BaBiOF2
Source: the Alexandria database
Functional: PBE
Structure: relaxed

a b c (Å): 4.8230 4.8230 4.5852
angles (deg): 90.00 90.00 90.00
Fractional coordinates of all 5 atoms:
1 Ba 0.0000 0.0000 0.0000
2 Bi 0.5000 0.5000 0.5000
3 O 0.5000 0.5000 0.0000
4 F 0.0000 0.5000 0.5000
5 F 0.5000 0.0000 0.5000

Computed properties:
Its symmetry is P4/mmm (123). The total energy is -4.9466 eV/atom. Its formation energy from raw total energies is -2.046 eV/atom.

***

No. 2
Compound: CaCd4Ru
Source: the Alexandria database
Functional: PBE
Structure: relaxed

a b c (Å): 5.6696 5.6696 5.6696
angles (deg): 60.00 60.00 60.00
Fractional coordinates of all 6 atoms:
1 Ca 0.0000 0.0000 0.0000
2 Cd 0.1275 0.6242 0.6242
3 Cd 0.6242 0.1275 0.6242
4 Cd 0.6242 0.6242 0.1275
5 Cd 0.6242 0.6242 0.6242
6 Ru 0.2500 0.2500 0.2500

Computed properties:
Its symmetry is F-43m (216). The total energy is -2.3379 eV/atom.

***

No. 3
Compound: ZnP2PdO
Source: the Alexandria database
Functional: PBE
Structure: relaxed

a b c (Å): 4.8234 4.8234 3.8044
angles (deg): 90.00 90.00 90.00
Fractional coordinates of all 5 atoms:
1 Zn 0.0000 0.0000 0.0000
2 P 0.0000 0.5000 0.5000
3 P 0.5000 0.0000 0.5000
4 Pd 0.5000 0.5000 0.5000
5 O 0.5000 0.5000 0.0000

Computed properties:
Its symmetry is P4/mmm (123). The total energy is -3.8809 eV/atom. Its formation energy from raw total energies is 0.568 eV/atom.